A plane-wave DFT calculation with PBE-GGA was carried out for a geometry-optimized NdUOs2 structure.

- energy relative to the elements (eV/atom) = -0.049

Unit cell a=4.381 b=5.861 c=7.005 alpha=90.00 beta=90.00 gamma=90.00
Sites, in units of the cell vectors:
1 Os 0.000 0.657 0.704
2 Os 0.500 0.343 0.204
3 Os 0.500 0.343 0.796
4 Os 0.000 0.657 0.296
5 Nd 0.000 0.156 0.500
6 Nd 0.500 0.844 0.000
7 U 0.000 0.334 0.000
8 U 0.500 0.666 0.500